[1]
VASP calculation (PBE) on crystalline Nd2Sm5In5 at its relaxed geometry.

Space-group type: C2/m, No. 12
V in Å³ per atom: 29.87
Energy of formation in eV per atom: -0.314
N(E_F) in states/eV per atom: 1.001
Theoretical density in kg/m³: 7479

Unit cell a=5.2586 b=6.4548 c=12.2143 alpha=107.11 beta=90.00 gamma=114.04
With the nearest neighbours (Å) after each atom.
Fractional coordinates of all 12 atoms:
Nd 0.0698 0.1396 0.7564  4 In 3.25-3.33, 3 Sm 3.48-3.61
Nd 0.9302 0.8604 0.2436  4 In 3.25-3.33, 3 Sm 3.48-3.61
Sm 0.5000 0.0000 0.5000  8 In 3.45-3.72, 2 Sm 3.54
Sm 0.6534 0.3068 0.0041  3 In 3.18-3.26, 3 Sm 3.43-3.50
Sm 0.6314 0.2628 0.2771  5 In 3.20-3.41, 2 Sm 3.43-3.54, 2 Nd 3.48
Sm 0.3686 0.7372 0.7229  5 In 3.20-3.41, 2 Sm 3.43-3.54, 2 Nd 3.48
Sm 0.3466 0.6932 0.9959  3 In 3.18-3.26, 3 Sm 3.43-3.50
In 0.1741 0.3483 0.4642  3 In 3.14-3.40, 1 Nd 3.25, 5 Sm 3.25-3.45
In 0.7398 0.4795 0.7757  3 Sm 3.20-3.26, 2 Nd 3.27, 2 In 3.39-3.40
In 0.2602 0.5205 0.2243  3 Sm 3.20-3.26, 2 Nd 3.27, 2 In 3.39-3.40
In 0.8259 0.6517 0.5358  3 In 3.14-3.40, 1 Nd 3.25, 5 Sm 3.25-3.45
In 0.0000 0.0000 0.0000  4 Sm 3.18, 2 Nd 3.33, 2 In 3.39


[2]
VASP calculation (PBE) on crystalline Nd3Sm2In4 at its relaxed geometry.

Space-group type: C2/m, No. 12
V in Å³ per atom: 29.59
Energy of formation in eV per atom: -0.414
N(E_F) in states/eV per atom: 1.053
Theoretical density in kg/m³: 7438

Unit cell a=5.4265 b=5.4220 c=10.4532 alpha=90.06 beta=90.00 gamma=59.97
With the nearest neighbours (Å) after each atom.
Fractional coordinates of all 9 atoms:
Nd 0.3333 0.3334 0.4224  4 In 3.23-3.37, 3 Nd 3.53
Nd 0.0000 0.0000 0.0000  8 In 3.30-3.63
Nd 0.6667 0.6666 0.5776  4 In 3.23-3.37, 3 Nd 3.53
Sm 0.3333 0.3335 0.7800  7 In 3.35-3.40, 1 Nd 3.74
Sm 0.6667 0.6665 0.2200  7 In 3.35-3.40, 1 Nd 3.74
In 0.6665 0.6669 0.8998  4 Nd 3.30-3.37, 4 Sm 3.35-3.37
In 0.9998 0.0003 0.3476  1 In 3.19, 3 Nd 3.23, 3 Sm 3.40
In 0.0002 0.9997 0.6524  1 In 3.19, 3 Nd 3.23, 3 Sm 3.40
In 0.3335 0.3331 0.1002  4 Nd 3.30-3.37, 4 Sm 3.35-3.37


[3]
VASP calculation (PBE) on crystalline Nd3SmIn2 at its relaxed geometry.

Space-group type: Pmc2_1, No. 26
V in Å³ per atom: 31.11
Energy of formation in eV per atom: -0.350
N(E_F) in states/eV per atom: 1.115
Theoretical density in kg/m³: 7231

Unit cell a=5.3509 b=6.8828 c=10.1359 alpha=90.00 beta=90.00 gamma=90.00
With the nearest neighbours (Å) after each atom.
Fractional coordinates of all 12 atoms:
Nd 0.0000 0.4671 0.9611  5 In 3.35-3.70, 5 Nd 3.53-3.72
Nd 0.0000 0.9671 0.0389  5 In 3.35-3.70, 5 Nd 3.53-3.72
Nd 0.5000 0.6935 0.1786  5 In 3.29-3.59, 2 Nd 3.57
Nd 0.5000 0.1935 0.8214  5 In 3.29-3.59, 2 Nd 3.57
Nd 0.0000 0.3068 0.3241  5 In 3.24-3.59, 2 Sm 3.56
Nd 0.0000 0.8068 0.6759  5 In 3.24-3.59, 2 Sm 3.56
Sm 0.5000 0.5316 0.5397  5 In 3.33-3.71, 2 Sm 3.53, 3 Nd 3.56-3.68
Sm 0.5000 0.0316 0.4603  5 In 3.33-3.71, 2 Sm 3.53, 3 Nd 3.56-3.68
In 0.5000 0.7132 0.8544  7 Nd 3.29-3.59, 1 Sm 3.43
In 0.5000 0.2132 0.1456  7 Nd 3.29-3.59, 1 Sm 3.43
In 0.0000 0.2879 0.6439  6 Nd 3.24-3.59, 2 Sm 3.33
In 0.0000 0.7879 0.3561  6 Nd 3.24-3.59, 2 Sm 3.33


[4]
VASP calculation (PBE) on crystalline Nd6Sm2In at its relaxed geometry.

Space-group type: P4_2/mnm, No. 136
V in Å³ per atom: 33.36
Energy of formation in eV per atom: -0.069
N(E_F) in states/eV per atom: 1.503
Theoretical density in kg/m³: 7085

Unit cell a=5.0400 b=10.9149 c=10.9156 alpha=90.00 beta=90.00 gamma=90.00
With the nearest neighbours (Å) after each atom.
Fractional coordinates of all 18 atoms:
Nd 0.9999 0.9995 0.1674  8 Nd 3.60-3.72, 3 Sm 3.60-3.70, 1 In 3.63
Nd 0.9999 0.6672 0.4995  8 Nd 3.60-3.72, 3 Sm 3.60-3.70, 1 In 3.63
Nd 0.9999 0.6600 0.8400  4 Sm 3.50-3.74, 2 In 3.53, 6 Nd 3.60-3.72
Nd 0.5001 0.1599 0.6599  4 Sm 3.50-3.74, 2 In 3.53, 6 Nd 3.60-3.72
Nd 0.5001 0.1672 0.0005  8 Nd 3.60-3.72, 3 Sm 3.60-3.70, 1 In 3.63
Nd 0.5001 0.4995 0.3326  8 Nd 3.60-3.72, 3 Sm 3.60-3.70, 1 In 3.63
Nd 0.0001 0.0005 0.8326  8 Nd 3.60-3.72, 3 Sm 3.60-3.70, 1 In 3.63
Nd 0.0001 0.3328 0.5005  8 Nd 3.60-3.72, 3 Sm 3.60-3.70, 1 In 3.63
Nd 0.0001 0.3400 0.1600  4 Sm 3.50-3.74, 2 In 3.53, 6 Nd 3.60-3.72
Nd 0.4999 0.8401 0.3401  4 Sm 3.50-3.74, 2 In 3.53, 6 Nd 3.60-3.72
Nd 0.4999 0.8328 0.9995  8 Nd 3.60-3.72, 3 Sm 3.60-3.70, 1 In 3.63
Nd 0.4999 0.5005 0.6674  8 Nd 3.60-3.72, 3 Sm 3.60-3.70, 1 In 3.63
Sm 0.0001 0.3391 0.8391  10 Nd 3.50-3.74, 2 In 3.54
Sm 0.4999 0.8391 0.6609  10 Nd 3.50-3.74, 2 In 3.54
Sm 0.5001 0.1609 0.3391  10 Nd 3.50-3.74, 2 In 3.54
Sm 0.9999 0.6609 0.1609  10 Nd 3.50-3.74, 2 In 3.54
In 0.5000 0.5000 0.0000  8 Nd 3.53-3.63, 4 Sm 3.54
In 0.0000 0.0000 0.5000  8 Nd 3.53-3.63, 4 Sm 3.54


[5]
VASP calculation (PBE) on crystalline Nd2Sm3In4 at its relaxed geometry.

Space-group type: C2/m, No. 12
V in Å³ per atom: 29.48
Energy of formation in eV per atom: -0.412
N(E_F) in states/eV per atom: 1.083
Theoretical density in kg/m³: 7504

Unit cell a=5.4115 b=5.4035 c=10.4807 alpha=90.14 beta=90.00 gamma=59.95
With the nearest neighbours (Å) after each atom.
Fractional coordinates of all 9 atoms:
Nd 0.3328 0.3345 0.7798  7 In 3.36-3.41, 1 Sm 3.74
Nd 0.6672 0.6655 0.2202  7 In 3.36-3.41, 1 Sm 3.74
Sm 0.3335 0.3329 0.4234  4 In 3.21-3.39, 3 Sm 3.51
Sm 0.0000 0.0000 0.0000  8 In 3.29-3.67
Sm 0.6665 0.6671 0.5766  4 In 3.21-3.39, 3 Sm 3.51
In 0.6661 0.6677 0.8996  4 Sm 3.29-3.39, 4 Nd 3.36-3.37
In 0.0003 0.9995 0.3500  1 In 3.14, 3 Sm 3.21-3.22, 3 Nd 3.40-3.41
In 0.9997 0.0005 0.6500  1 In 3.14, 3 Sm 3.21-3.22, 3 Nd 3.40-3.41
In 0.3339 0.3323 0.1004  4 Sm 3.29-3.39, 4 Nd 3.36-3.37


[6]
VASP calculation (PBE) on crystalline NdSmIn at its relaxed geometry.

Space-group type: Cmcm, No. 63
V in Å³ per atom: 30.51
Energy of formation in eV per atom: -0.342
N(E_F) in states/eV per atom: 1.369
Theoretical density in kg/m³: 7429

Unit cell a=5.5379 b=5.5452 c=6.8794 alpha=90.00 beta=90.00 gamma=119.96
With the nearest neighbours (Å) after each atom.
Fractional coordinates of all 6 atoms:
Nd 0.0000 0.0000 0.0000  2 Nd 3.44, 6 In 3.63-3.64, 6 Sm 3.63
Nd 0.0000 0.0000 0.5000  2 Nd 3.44, 6 In 3.63-3.64, 6 Sm 3.63
Sm 0.6668 0.3336 0.2500  5 In 3.20-3.44
Sm 0.3332 0.6664 0.7500  5 In 3.20-3.44
In 0.3337 0.6673 0.2500  5 Sm 3.20-3.44
In 0.6663 0.3327 0.7500  5 Sm 3.20-3.44


[7]
VASP calculation (PBE) on crystalline NdSmIn3 at its relaxed geometry.

Space-group type: I-4m2, No. 119
V in Å³ per atom: 39.50
Energy of formation in eV per atom: 0.081
N(E_F) in states/eV per atom: 0.907
Theoretical density in kg/m³: 5373

Unit cell a=5.9068 b=5.9068 c=12.0679 alpha=104.17 beta=104.17 gamma=90.00
With the nearest neighbours (Å) after each atom.
Fractional coordinates of all 10 atoms:
Nd 0.0000 0.0000 0.0000  4 In 3.15
Nd 0.2500 0.7500 0.5000  8 In 2.95-3.23
Sm 0.6686 0.1686 0.3372  8 In 3.46-3.51, 1 Sm 3.69
Sm 0.8314 0.3314 0.6628  8 In 3.46-3.51, 1 Sm 3.69
In 0.6244 0.8774 0.7547  2 In 2.92-2.99, 2 Nd 3.15-3.23
In 0.1226 0.8697 0.2453  2 In 2.92-2.99, 2 Nd 3.15-3.23
In 0.1226 0.3756 0.2453  2 In 2.92-2.99, 2 Nd 3.15-3.23
In 0.1303 0.8774 0.7547  2 In 2.92-2.99, 2 Nd 3.15-3.23
In 0.2520 0.2520 0.5040  2 Nd 2.95, 2 In 3.29
In 0.7480 0.7480 0.4960  2 Nd 2.95, 2 In 3.29


[8]
VASP calculation (PBE) on crystalline Nd7Sm2In2 at its relaxed geometry.

Space-group type: Imm2, No. 44
V in Å³ per atom: 34.19
Energy of formation in eV per atom: -0.046
N(E_F) in states/eV per atom: 1.137
Theoretical density in kg/m³: 6800

Unit cell a=3.7330 b=10.7007 c=10.7007 alpha=64.03 beta=79.95 gamma=79.95
With the nearest neighbours (Å) after each atom.
Fractional coordinates of all 11 atoms:
Nd 0.8230 0.0236 0.3305  1 In 3.21, 3 Sm 3.38-3.46
Nd 0.8509 0.4679 0.8303  2 In 3.25, 2 Sm 3.50, 2 Nd 3.62
Nd 0.5000 0.0323 0.9677  3 In 3.32-3.49
Nd 0.6048 0.4912 0.2993  3 In 3.43-3.45, 2 Sm 3.59, 7 Nd 3.64-3.74
Nd 0.3952 0.7007 0.5088  3 In 3.43-3.45, 2 Sm 3.59, 7 Nd 3.64-3.74
Nd 0.1770 0.6695 0.9764  1 In 3.21, 3 Sm 3.38-3.46
Nd 0.1491 0.1697 0.5321  2 In 3.25, 2 Sm 3.50, 2 Nd 3.62
Sm 0.7227 0.8621 0.6925  8 Nd 3.38-3.78, 2 Sm 3.73
Sm 0.2773 0.3075 0.1379  8 Nd 3.38-3.78, 2 Sm 3.73
In 0.0000 0.7899 0.2101  8 Nd 3.21-3.43
In 0.5000 0.3395 0.6605  7 Nd 3.25-3.49


[9]
VASP calculation (PBE) on crystalline Nd4Sm9In11 at its relaxed geometry.

Space-group type: Cmmm, No. 65
V in Å³ per atom: 28.74
Energy of formation in eV per atom: -0.418
N(E_F) in states/eV per atom: 0.920
Theoretical density in kg/m³: 7688

Unit cell a=3.5748 b=14.3901 c=14.3901 alpha=111.30 beta=90.00 gamma=90.00
With the nearest neighbours (Å) after each atom.
Fractional coordinates of all 24 atoms:
Nd 0.5000 0.5924 0.7568  6 In 3.32-3.47, 3 Sm 3.44-3.56, 2 Nd 3.57
Nd 0.5000 0.4076 0.2432  6 In 3.32-3.47, 3 Sm 3.44-3.56, 2 Nd 3.57
Nd 0.5000 0.7568 0.5924  6 In 3.32-3.47, 3 Sm 3.44-3.56, 2 Nd 3.57
Nd 0.5000 0.2432 0.4076  6 In 3.32-3.47, 3 Sm 3.44-3.56, 2 Nd 3.57
Sm 0.5000 0.6114 0.1649  8 In 3.30-3.52, 1 Nd 3.50, 3 Sm 3.57-3.63
Sm 0.5000 0.3886 0.8351  8 In 3.30-3.52, 1 Nd 3.50, 3 Sm 3.57-3.63
Sm 0.5000 0.1649 0.6114  8 In 3.30-3.52, 1 Nd 3.50, 3 Sm 3.57-3.63
Sm 0.5000 0.8351 0.3886  8 In 3.30-3.52, 1 Nd 3.50, 3 Sm 3.57-3.63
Sm 0.5000 0.7971 0.9892  8 In 3.29-3.38, 3 Sm 3.47-3.57, 1 Nd 3.56
Sm 0.5000 0.2029 0.0108  8 In 3.29-3.38, 3 Sm 3.47-3.57, 1 Nd 3.56
Sm 0.5000 0.9892 0.7971  8 In 3.29-3.38, 3 Sm 3.47-3.57, 1 Nd 3.56
Sm 0.5000 0.0108 0.2029  8 In 3.29-3.38, 3 Sm 3.47-3.57, 1 Nd 3.56
Sm 0.5000 0.5000 0.5000  4 In 3.38, 4 Nd 3.44, 2 Sm 3.57
In 0.0000 0.5906 0.9597  3 In 3.22-3.57, 6 Sm 3.33-3.37, 2 Nd 3.43
In 0.0000 0.4094 0.0403  3 In 3.22-3.57, 6 Sm 3.33-3.37, 2 Nd 3.43
In 0.0000 0.9597 0.5906  3 In 3.22-3.57, 6 Sm 3.33-3.37, 2 Nd 3.43
In 0.0000 0.0403 0.4094  3 In 3.22-3.57, 6 Sm 3.33-3.37, 2 Nd 3.43
In 0.0000 0.6208 0.3792  6 Sm 3.38-3.52, 4 Nd 3.47, 2 In 3.57
In 0.0000 0.3792 0.6208  6 Sm 3.38-3.52, 4 Nd 3.47, 2 In 3.57
In 0.0000 0.8117 0.1883  8 Sm 3.30-3.32, 4 In 3.57-3.65
In 0.0000 0.1883 0.8117  8 Sm 3.30-3.32, 4 In 3.57-3.65
In 0.0000 0.0000 0.0000  4 In 3.28-3.57, 8 Sm 3.38
In 0.0000 0.7980 0.7980  3 In 3.28-3.57, 4 Sm 3.29, 4 Nd 3.32
In 0.0000 0.2020 0.2020  3 In 3.28-3.57, 4 Sm 3.29, 4 Nd 3.32


[10]
VASP calculation (PBE) on crystalline Nd8Sm5In at its relaxed geometry.

Space-group type: C2, No. 5
V in Å³ per atom: 34.93
Energy of formation in eV per atom: 0.088
N(E_F) in states/eV per atom: 1.464
Theoretical density in kg/m³: 6861

Unit cell a=9.0799 b=8.9297 c=9.0799 alpha=84.59 beta=123.98 gamma=122.87
With the nearest neighbours (Å) after each atom.
Fractional coordinates of all 14 atoms:
Nd 0.1143 0.6981 0.0417  5 Nd 3.33-3.73, 5 Sm 3.34-3.63
Nd 0.9921 0.0540 0.5730  1 In 3.30, 2 Nd 3.49-3.64, 1 Sm 3.55
Nd 0.0154 0.4353 0.3339  1 In 3.35, 4 Nd 3.45-3.54
Nd 0.5923 0.3669 0.8744  1 In 3.23, 4 Nd 3.33-3.54, 2 Sm 3.39-3.43
Nd 0.5075 0.6331 0.2254  1 In 3.23, 4 Nd 3.33-3.54, 2 Sm 3.39-3.43
Nd 0.5190 0.9460 0.9381  1 In 3.30, 2 Nd 3.49-3.64, 1 Sm 3.55
Nd 0.3436 0.3019 0.4162  5 Nd 3.33-3.73, 5 Sm 3.34-3.63
Nd 0.8986 0.5647 0.5801  1 In 3.35, 4 Nd 3.45-3.54
Sm 0.9728 0.2440 0.9262  3 Sm 3.31-3.59, 1 In 3.37, 4 Nd 3.43-3.63
Sm 0.9353 0.8240 0.2069  5 Nd 3.34-3.71, 2 Sm 3.51-3.56
Sm 0.6822 0.7560 0.7288  3 Sm 3.31-3.59, 1 In 3.37, 4 Nd 3.43-3.63
Sm 0.5008 0.0000 0.5008  4 Sm 3.31-3.56, 2 Nd 3.53
Sm 0.3829 0.1760 0.1113  5 Nd 3.34-3.71, 2 Sm 3.51-3.56
In 0.2933 0.5000 0.7933  6 Nd 3.23-3.35, 2 Sm 3.37